1.
NaTb3Tm3Se8 after structural relaxation, computed with GGA-PBE.

Values from the calculation:
* E_form (uncorrected): -2548 kJ/mol of formula units

Cell lengths 8.0893, 8.0893, 19.8461 Å; angles 90.00, 90.00, 120.00 degrees
Space group R-3m (No. 166, hexagonal axes)
Symmetry-distinct sites (fractional):
Na: 0.0000 0.0000 0.0000 (multiplicity 3)
Tb: 0.0000 0.5000 0.5000 (multiplicity 9)
Tm: 0.0000 0.5000 0.0000 (multiplicity 9)
Se: 0.0000 0.0000 0.2520 (multiplicity 6)
Se: 0.0098 0.5049 0.2498 (multiplicity 18)

=====

2.
Cu2AgTeO6 after structural relaxation, computed with GGA-PBE.

Values from the calculation:
* E_form (uncorrected): -532 kJ/mol of formula units

Cell lengths 10.6934, 8.7012, 6.4970 Å; angles 90.00, 109.77, 90.00 degrees
Space group C2/c (No. 15)
Symmetry-distinct sites (fractional):
Cu: 0.1950 0.0643 0.1214 (multiplicity 8)
Ag: 0.0000 0.3911 0.2500 (multiplicity 4)
Te: 0.0000 0.2378 0.7500 (multiplicity 4)
O: 0.0573 0.2139 0.0700 (multiplicity 8)
O: 0.1161 0.4065 0.7153 (multiplicity 8)
O: 0.1503 0.0880 0.8068 (multiplicity 8)

=====

3.
LiGdInCu after structural relaxation, computed with GGA-PBE.

Values from the calculation:
* ΔH_f (0 K): -0.18 eV per atom

Cell lengths 6.9792, 6.9792, 6.9792 Å; angles 90.00, 90.00, 90.00 degrees
Space group F-43m (No. 216)
Symmetry-distinct sites (fractional):
Li: 0.0000 0.0000 0.0000 (multiplicity 4)
Gd: 0.0000 0.0000 0.5000 (multiplicity 4)
In: 0.2500 0.2500 0.2500 (multiplicity 4)
Cu: 0.2500 0.2500 0.7500 (multiplicity 4)

=====

4.
LiSb2W after structural relaxation, computed with GGA-PBE.

Values from the calculation:
* energy above the most stable polymorph in this dataset: 19.59 kJ per mole of atoms
* E_form (uncorrected): 111 kJ/mol of formula units

Cell lengths 6.7817, 6.7817, 6.7817 Å; angles 90.00, 90.00, 90.00 degrees
Space group Fm-3m (No. 225)
Symmetry-distinct sites (fractional):
Li: 0.0000 0.0000 0.0000 (multiplicity 4)
Sb: 0.2500 0.2500 0.2500 (multiplicity 8)
W: 0.0000 0.0000 0.5000 (multiplicity 4)

=====

5.
PrP3Rh4 after structural relaxation, computed with GGA-PBE.

Values from the calculation:
* ΔH_f (0 K): -0.93 eV per atom

Cell lengths 3.9579, 3.9579, 8.2447 Å; angles 90.00, 90.00, 90.00 degrees
Space group P4/mmm (No. 123)
Symmetry-distinct sites (fractional):
Pr: 0.0000 0.0000 0.0000 (multiplicity 1)
P: 0.0000 0.0000 0.5000 (multiplicity 1)
P: 0.5000 0.5000 0.1733 (multiplicity 2)
Rh: 0.0000 0.5000 0.3291 (multiplicity 4)

=====

6.
La6Ho2Tm5 after structural relaxation, computed with GGA-PBE.

Values from the calculation:
* ΔH_f (0 K): 0.12 eV per atom

Cell lengths 11.7376, 20.7534, 3.6284 Å; angles 90.00, 90.00, 90.00 degrees
Space group Pbam (No. 55)
Symmetry-distinct sites (fractional):
La: 0.0580 0.0801 0.0000 (multiplicity 4)
La: 0.0821 0.3664 0.0000 (multiplicity 4)
La: 0.1725 0.6340 0.5000 (multiplicity 4)
Ho: 0.1626 0.7905 0.0000 (multiplicity 4)
Tm: 0.0000 0.5000 0.5000 (multiplicity 2)
Tm: 0.0959 0.2265 0.5000 (multiplicity 4)
Tm: 0.2007 0.9425 0.5000 (multiplicity 4)

=====

7.
Pm3SiCl2 after structural relaxation, computed with GGA-PBE.

Values from the calculation:
* E_form (uncorrected): -724 kJ/mol of formula units

Cell lengths 4.2689, 5.7803, 12.2470 Å; angles 90.00, 90.00, 90.00 degrees
Space group Immm (No. 71)
Symmetry-distinct sites (fractional):
Pm: 0.0000 0.0000 0.0000 (multiplicity 2)
Pm: 0.0000 0.0000 0.3462 (multiplicity 4)
Si: 0.0000 0.5000 0.0000 (multiplicity 2)
Cl: 0.0000 0.5000 0.3346 (multiplicity 4)

=====

8.
LaMg3Rh2 after structural relaxation, computed with GGA-PBE.

Values from the calculation:
* ΔH_f (0 K): -0.43 eV per atom

Cell lengths 3.9788, 8.5072, 8.5129 Å; angles 65.83, 76.63, 76.62 degrees
Space group P-1 (No. 2)
Symmetry-distinct sites (fractional):
La: 0.1328 0.3672 0.3663 (multiplicity 2)
Mg: 0.0004 0.1558 0.8434 (multiplicity 2)
Mg: 0.3364 0.3558 0.9728 (multiplicity 2)
Mg: 0.3359 0.9723 0.3572 (multiplicity 2)
Rh: 0.1994 0.7995 0.7988 (multiplicity 2)
Rh: 0.5000 0.3524 0.6477 (multiplicity 2)

=====

9.
SnHg2As2 after structural relaxation, computed with GGA-PBE.

Values from the calculation:
* energy above the most stable polymorph in this dataset: 0.00 kJ per mole of atoms
* ΔH_f (0 K): 0.18 eV per atom

Cell lengths 4.1099, 4.1099, 16.0925 Å; angles 90.00, 90.00, 90.00 degrees
Space group I4/mmm (No. 139)
Symmetry-distinct sites (fractional):
Sn: 0.0000 0.0000 0.0000 (multiplicity 2)
Hg: 0.0000 0.5000 0.2500 (multiplicity 4)
As: 0.0000 0.0000 0.4253 (multiplicity 4)

=====

10.
Re2TcBr after structural relaxation, computed with GGA-PBE.

Values from the calculation:
* energy above the most stable polymorph in this dataset: 38.69 kJ per mole of atoms
* E_form (uncorrected): 373 kJ/mol of formula units

Cell lengths 2.9154, 3.7280, 6.7775 Å; angles 90.00, 90.00, 90.00 degrees
Space group Pmmm (No. 47)
Symmetry-distinct sites (fractional):
Re: 0.0000 0.0000 0.1800 (multiplicity 2)
Tc: 0.5000 0.5000 0.0000 (multiplicity 1)
Br: 0.5000 0.5000 0.5000 (multiplicity 1)

=====

11.
MgNiW after structural relaxation, computed with GGA-PBE.

Values from the calculation:
* energy above the most stable polymorph in this dataset: 7.41 kJ per mole of atoms
* ΔH_f (0 K): 0.16 eV per atom

Cell lengths 2.7839, 3.0762, 10.6117 Å; angles 90.00, 92.81, 90.00 degrees
Space group Pm (No. 6)
Symmetry-distinct sites (fractional):
Mg: 0.0000 0.0000 0.0000 (multiplicity 1)
Mg: 0.0502 0.0000 0.3069 (multiplicity 1)
Ni: 0.5241 0.5000 0.1530 (multiplicity 1)
Ni: 0.5758 0.5000 0.4680 (multiplicity 1)
W: 0.1033 0.0000 0.6188 (multiplicity 1)
W: 0.4701 0.5000 0.7948 (multiplicity 1)

=====

12.
PmMgZnNi after structural relaxation, computed with GGA-PBE.

Values from the calculation:
* ΔH_f (0 K): -0.23 eV per atom

Cell lengths 6.7699, 6.7699, 6.7699 Å; angles 90.00, 90.00, 90.00 degrees
Space group F-43m (No. 216)
Symmetry-distinct sites (fractional):
Pm: 0.0000 0.0000 0.0000 (multiplicity 4)
Mg: 0.0000 0.0000 0.5000 (multiplicity 4)
Zn: 0.2500 0.2500 0.2500 (multiplicity 4)
Ni: 0.2500 0.2500 0.7500 (multiplicity 4)